# 1
# CsSm2Cl7

A relaxed CsSm2Cl7 crystal (GGA-PBE, Alexandria via LeMat-Bulk).

* energy above the lowest structure with this stoichiometry: 0 meV per atom
* magnetic moment: 0.000 μB per cell
* uncorrected formation energy: -2.283 eV/atom
* volume: 33.3 Å³ per atom

a b c (Å): 14.312 7.164 13.005
angles (deg): 90.00 90.00 90.00
Fractional positions:
Cs1 0.032 0.250 0.203
Cs2 0.468 0.750 0.703
Cs3 0.532 0.250 0.297
Cs4 0.968 0.750 0.797
Sm1 0.240 0.250 0.547
Sm2 0.246 0.250 0.852
Sm3 0.254 0.750 0.352
Sm4 0.260 0.750 0.047
Sm5 0.740 0.250 0.953
Sm6 0.746 0.250 0.648
Sm7 0.754 0.750 0.148
Sm8 0.760 0.750 0.453
Cl1 0.117 0.750 0.198
Cl2 0.131 0.010 0.431
Cl3 0.131 0.490 0.431
Cl4 0.134 0.009 0.968
Cl5 0.134 0.491 0.968
Cl6 0.178 0.012 0.701
Cl7 0.178 0.488 0.701
Cl8 0.322 0.512 0.201
Cl9 0.322 0.988 0.201
Cl10 0.366 0.509 0.468
Cl11 0.366 0.991 0.468
Cl12 0.369 0.510 0.931
Cl13 0.369 0.990 0.931
Cl14 0.383 0.250 0.698
Cl15 0.617 0.750 0.302
Cl16 0.631 0.010 0.069
Cl17 0.631 0.490 0.069
Cl18 0.634 0.009 0.532
Cl19 0.634 0.491 0.532
Cl20 0.678 0.012 0.799
Cl21 0.678 0.488 0.799
Cl22 0.822 0.512 0.299
Cl23 0.822 0.988 0.299
Cl24 0.866 0.509 0.032
Cl25 0.866 0.991 0.032
Cl26 0.869 0.510 0.569
Cl27 0.869 0.990 0.569
Cl28 0.883 0.250 0.802

---

# 2
# CaFe2Pt

A relaxed CaFe2Pt crystal (GGA-PBE, Alexandria via LeMat-Bulk).

* magnetic moment: 10.750 μB per cell
* volume: 21.9 Å³ per atom
* E_form: 0.246 eV/atom

a b c (Å): 9.428 9.428 9.428
angles (deg): 152.77 152.77 38.89
Fractional positions:
Ca1 0.000 0.000 0.000
Ca2 0.750 0.250 0.500
Fe1 0.360 0.625 0.235
Fe2 0.375 0.610 0.735
Fe3 0.390 0.125 0.765
Fe4 0.875 0.640 0.265
Pt1 0.250 0.750 0.500
Pt2 0.500 0.500 0.000

---

# 3
# Re2RuPt

A relaxed Re2RuPt crystal (GGA-PBE, Alexandria via LeMat-Bulk).

* energy above the lowest structure with this stoichiometry: 153 meV per atom
* magnetic moment: 0.000 μB per cell
* volume: 14.8 Å³ per atom
* E_form: 0.025 eV/atom

a b c (Å): 9.120 9.120 9.120
angles (deg): 17.41 17.41 17.41
Fractional positions:
Re1 0.248 0.248 0.248
Re2 0.752 0.752 0.752
Ru1 0.500 0.500 0.500
Pt1 0.000 0.000 0.000